[1]
First-principles (PBE) data for a relaxed structure of Li6TlHg6, as listed in the Alexandria database.

Final energy in eV/atom: -1.4032
Energy of formation in kJ per mole of atoms: -19.2
D(E_F) in states/eV/f.u.: 5.31

Cell lengths 5.911, 5.911, 9.586 Å; angles 90.00, 90.00, 120.00 degrees
Fractional positions:
Li  0.000  0.000  0.173
Li  0.000  0.000  0.827
Li  0.333  0.667  0.000
Li  0.333  0.667  0.500
Li  0.667  0.333  0.000
Li  0.667  0.333  0.500
Tl  0.000  0.000  0.500
Hg  0.000  0.500  0.247
Hg  0.000  0.500  0.753
Hg  0.500  0.000  0.247
Hg  0.500  0.000  0.753
Hg  0.500  0.500  0.247
Hg  0.500  0.500  0.753

[2]
First-principles (PBE) data for a relaxed structure of MgMnNi2, as listed in the Alexandria database.

Final energy in eV/atom: -5.6887
Energy of formation in kJ per mole of atoms: -10.3
D(E_F) in states/eV/f.u.: 2.86

Cell lengths 2.937, 2.937, 6.111 Å; angles 90.00, 90.00, 90.00 degrees
Fractional positions:
Mg  0.000  0.000  0.000
Mn  0.000  0.000  0.500
Ni  0.500  0.500  0.274
Ni  0.500  0.500  0.726

[3]
First-principles (PBE) data for a relaxed structure of SrIr2Rh, as listed in the Alexandria database.

Final energy in eV/atom: -6.4933
Relative energy among the computed polymorphs in meV/atom: 5
Energy of formation in kJ per mole of atoms: 18.9
D(E_F) in states/eV/f.u.: 4.10

Cell lengths 4.835, 4.835, 5.752 Å; angles 99.37, 99.37, 34.87 degrees
Fractional positions:
Sr  0.000  0.000  0.000
Ir  0.239  0.239  0.650
Ir  0.502  0.502  0.520
Rh  0.764  0.764  0.291

[4]
First-principles (PBE) data for a relaxed structure of La2TlW, as listed in the Alexandria database.

Final energy in eV/atom: -5.8159
Relative energy among the computed polymorphs in meV/atom: 195
Energy of formation in kJ per mole of atoms: 46.1
D(E_F) in states/eV/f.u.: 6.07

Cell lengths 10.494, 10.494, 10.494 Å; angles 19.72, 19.72, 19.72 degrees
Fractional positions:
La  0.237  0.237  0.237
La  0.763  0.763  0.763
Tl  0.000  0.000  0.000
W  0.500  0.500  0.500

[5]
First-principles (PBE) data for a relaxed structure of ScNbPd, as listed in the Alexandria database.

Final energy in eV/atom: -7.6474
Relative energy among the computed polymorphs in meV/atom: 13
Energy of formation in kJ per mole of atoms: -43.4
D(E_F) in states/eV/f.u.: 2.98

Cell lengths 3.268, 4.420, 7.851 Å; angles 90.00, 90.00, 90.00 degrees
Fractional positions:
Sc  0.250  0.250  0.148
Sc  0.750  0.750  0.852
Nb  0.250  0.750  0.491
Nb  0.750  0.250  0.509
Pd  0.250  0.250  0.787
Pd  0.750  0.750  0.213

[6]
First-principles (PBE) data for a relaxed structure of Cr2IrW, as listed in the Alexandria database.

Final energy in eV/atom: -10.1708
Energy of formation in kJ per mole of atoms: 9.1
D(E_F) in states/eV/f.u.: 4.21

Cell lengths 2.650, 2.650, 7.869 Å; angles 90.00, 90.00, 90.00 degrees
Fractional positions:
Cr  0.000  0.000  0.233
Cr  0.000  0.000  0.767
Ir  0.500  0.500  0.000
W  0.500  0.500  0.500